[1]
# RbHfPdSe3 PBE optimized geometry
# DOS(E_F) in states/eV/cell: 6.34
# Total magnetization in μB/cell: 0.00
# Energy relative to the elements, uncorrected in eV/atom: -1.09
# Raw total energy in eV per atom: -5.5174
data_RbHfPdSe3
_chemical_formula_sum 'Rb2 Hf2 Pd2 Se6'
_space_group_name_H-M_alt 'P 1 21/m 1'
_space_group_IT_number 11
_cell_length_a 9.030
_cell_length_b 3.882
_cell_length_c 10.070
_cell_angle_alpha 90.00
_cell_angle_beta 113.23
_cell_angle_gamma 90.00
loop_
_space_group_symop_operation_xyz
'x,y,z'
'-x,-y,-z'
'-x,y+1/2,-z'
'x,-y+1/2,z'
loop_
_atom_site_label
_atom_site_fract_x
_atom_site_fract_y
_atom_site_fract_z
Rb1 0.228 0.250 0.255
Hf1 0.310 0.750 0.836
Pd1 0.097 0.250 0.598
Se1 0.120 0.250 0.866
Se2 0.247 0.750 0.556
Se3 0.465 0.750 0.136

---

[2]
# NaS PBE optimized geometry
# Energy above the lowest structure with this stoichiometry in eV/atom: 0.002
# Total magnetization in μB/cell: 0.00
# Energy relative to the elements, uncorrected in eV/atom: -0.83
# Raw total energy in eV per atom: -3.5508
data_NaS
_chemical_formula_sum 'Na6 S6'
_space_group_name_H-M_alt 'P -6 2 m'
_space_group_IT_number 189
_space_group_name_Hall 'P -6 -2'
_cell_length_a 7.6768
_cell_length_b 7.6768
_cell_length_c 5.3836
_cell_angle_alpha 90.00
_cell_angle_beta 90.00
_cell_angle_gamma 120.00
loop_
_atom_site_label
_atom_site_fract_x
_atom_site_fract_y
_atom_site_fract_z
Na1 0.0000 0.3104 0.0000
Na2 0.0000 0.6440 0.5000
S1 0.0000 0.0000 0.3015
S2 0.3333 0.6667 0.2001

---

[3]
# Ca2PmZn3 PBE optimized geometry
# Energy above the lowest structure with this stoichiometry in eV/atom: 0.000
# DOS(E_F) in states/eV/cell: 4.38
# Total magnetization in μB/cell: 0.00
# Raw total energy in eV per atom: -2.3746
# Energy of formation from the pure elements in eV per atom: -0.28
data_Ca2PmZn3
_chemical_formula_sum 'Ca2 Pm1 Zn3'
_space_group_name_H-M_alt 'P -3 m 1'
_space_group_IT_number 164
_space_group_name_Hall '-P 3 2"'
_cell_length_a 5.1798
_cell_length_b 5.1798
_cell_length_c 6.3750
_cell_angle_alpha 90.00
_cell_angle_beta 90.00
_cell_angle_gamma 120.00
loop_
_atom_site_label
_atom_site_fract_x
_atom_site_fract_y
_atom_site_fract_z
Ca1 0.3333 0.6667 0.1599
Pm1 0.0000 0.0000 0.5000
Zn1 0.0000 0.0000 0.0000
Zn2 0.3333 0.6667 0.6572

---

- Which value of total magnetization does entry 1 give?
  0.00 μB/cell